# 1
This record from the Alexandria database describes an optimized crystal structure of Th4InSn2. The functional is PBE.

Properties
Total energy: -5.88 eV/atom

The structure in POSCAR format:
```
Th4InSn2
1.0
4.9264 0.0000 0.0000
2.4632 4.2664 0.0000
2.4632 1.4221 11.1765
Th Sn In
4 2 1
Cartesian
7.3896 4.2664 10.0876
2.4632 1.4221 7.1878
7.3896 4.2664 3.9887
2.4632 1.4221 1.0888
4.9264 2.8443 8.7792
4.9264 2.8443 2.3973
4.9264 2.8443 5.5882
```

***

# 2
This record from the Alexandria database describes an optimized crystal structure of Th2In3Sn3. The functional is PBE.

Properties
Total energy: -4.79 eV/atom

The structure in POSCAR format:
```
Th2In3Sn3
1.0
-2.3231 0.1272 4.1445
3.5597 -2.5824 2.0746
4.3984 7.8501 2.2246
In Th Sn
3 2 3
Cartesian
3.9791 2.6338 2.1496
1.7344 0.7645 3.6740
3.9006 4.6304 4.7696
1.0793 1.9263 0.5459
3.3191 5.9238 1.6787
1.0377 3.9886 3.1845
-1.1616 0.0636 2.0722
1.7798 -1.2912 1.0373
```

***

# 3
This record from the Alexandria database describes an optimized crystal structure of Th2In3Sn. The functional is PBE.

Properties
Total energy: -4.77 eV/atom

The structure in POSCAR format:
```
Th2In3Sn
1.0
5.1797 0.0000 0.0000
0.0000 3.6207 0.0000
0.0000 0.0000 8.7451
Th Sn In
2 1 3
Cartesian
2.5899 0.0000 8.6897
0.0000 0.0000 4.4274
2.5899 1.8104 5.8163
0.0000 1.8104 7.3213
2.5899 1.8104 2.8716
0.0000 1.8104 1.4816
```